[1]
First-principles (PBE) data for crystalline CsRbPdAu at its relaxed geometry, as listed in Alexandria.

Cell lengths 8.3210, 8.3210, 8.3210 Å; angles 90.00, 90.00, 90.00 degrees
Space group F-43m (No. 216)
One atom of each set of equivalent atoms:
Cs  0.0000  0.0000  0.0000 x4
Rb  0.0000  0.0000  0.5000 x4
Pd  0.2500  0.2500  0.2500 x4
Au  0.2500  0.2500  0.7500 x4

DOS at the Fermi energy: 16.7 states/eV/cell
formation enthalpy at 0 K: 0.17 eV per atom
V: 144.0 Å³/f.u.



[2]
First-principles (PBE) data for crystalline Cs2RbPdAu at its relaxed geometry, as listed in Alexandria.

Cell lengths 6.5927, 6.5927, 5.4484 Å; angles 90.00, 90.00, 90.00 degrees
Space group P4/mmm (No. 123)
One atom of each set of equivalent atoms:
Cs  0.0000  0.5000  0.0000 x2
Rb  0.0000  0.0000  0.5000 x1
Pd  0.5000  0.5000  0.0000 x1
Au  0.5000  0.5000  0.5000 x1

DOS at the Fermi energy: 2.7 states/eV/cell
formation enthalpy at 0 K: 0.04 eV per atom
V: 236.8 Å³/f.u.
ΔE to the lowest computed polymorph: 0.030 eV per atom



[3]
First-principles (PBE) data for crystalline CsPdAuS2 at its relaxed geometry, as listed in Alexandria.

Cell lengths 6.3349, 14.1689, 5.8268 Å; angles 90.00, 90.00, 90.00 degrees
Space group Cmme (No. 67)
One atom of each set of equivalent atoms:
Cs  0.0000  0.2500  0.2252 x4
Pd  0.2500  0.0000  0.5000 x4
Au  0.0000  0.0000  0.0000 x4
S  0.0000  0.1050  0.6896 x8

DOS at the Fermi energy: 15.8 states/eV/cell
formation energy from raw total energies: -42 kJ per mole of atoms
V: 130.7 Å³/f.u.



[4]
First-principles (PBE) data for crystalline CsSbPdAu2 at its relaxed geometry, as listed in Alexandria.

Cell lengths 5.7319, 5.7319, 6.4822 Å; angles 90.00, 90.00, 90.00 degrees
Space group P4/mmm (No. 123)
One atom of each set of equivalent atoms:
Cs  0.0000  0.0000  0.0000 x1
Sb  0.0000  0.0000  0.5000 x1
Pd  0.5000  0.5000  0.5000 x1
Au  0.0000  0.5000  0.0000 x2

DOS at the Fermi energy: 5.3 states/eV/cell
formation energy from raw total energies: 161 kJ per mole of atoms
V: 213.0 Å³/f.u.



[5]
First-principles (PBE) data for crystalline CsSrPd2Au at its relaxed geometry, as listed in Alexandria.

Cell lengths 5.3818, 5.3818, 5.4980 Å; angles 90.00, 90.00, 90.00 degrees
Space group P4/mmm (No. 123)
One atom of each set of equivalent atoms:
Cs  0.0000  0.0000  0.0000 x1
Sr  0.5000  0.5000  0.0000 x1
Pd  0.0000  0.5000  0.5000 x2
Au  0.5000  0.5000  0.5000 x1

DOS at the Fermi energy: 2.5 states/eV/cell
formation enthalpy at 0 K: 0.09 eV per atom
V: 159.2 Å³/f.u.



[6]
First-principles (PBE) data for crystalline CsTaPd2Au at its relaxed geometry, as listed in Alexandria.

Cell lengths 4.8894, 4.8894, 7.0312 Å; angles 90.00, 90.00, 90.00 degrees
Space group P4/mmm (No. 123)
One atom of each set of equivalent atoms:
Cs  0.0000  0.0000  0.0000 x1
Ta  0.0000  0.0000  0.5000 x1
Pd  0.0000  0.5000  0.5000 x2
Au  0.5000  0.5000  0.0000 x1

DOS at the Fermi energy: 5.5 states/eV/cell
formation enthalpy at 0 K: 1.13 eV per atom
V: 168.1 Å³/f.u.



[7]
First-principles (PBE) data for crystalline CsTe2PdAu at its relaxed geometry, as listed in Alexandria.

Cell lengths 6.7067, 12.8497, 8.2111 Å; angles 90.00, 90.00, 90.00 degrees
Space group Cmme (No. 67)
One atom of each set of equivalent atoms:
Cs  0.0000  0.2500  0.2390 x4
Te  0.0000  0.0869  0.7899 x8
Pd  0.2500  0.0000  0.0000 x4
Au  0.0000  0.0000  0.5000 x4

DOS at the Fermi energy: 8.0 states/eV/cell
formation energy from raw total energies: -46 kJ per mole of atoms
V: 176.9 Å³/f.u.



[8]
First-principles (PBE) data for crystalline Cs2ZrPdAu at its relaxed geometry, as listed in Alexandria.

Cell lengths 6.5397, 6.5397, 5.3543 Å; angles 90.00, 90.00, 90.00 degrees
Space group P4/mmm (No. 123)
One atom of each set of equivalent atoms:
Cs  0.0000  0.5000  0.0000 x2
Zr  0.0000  0.0000  0.5000 x1
Pd  0.5000  0.5000  0.5000 x1
Au  0.0000  0.0000  0.0000 x1

DOS at the Fermi energy: 6.2 states/eV/cell
formation enthalpy at 0 K: 0.85 eV per atom
V: 229.0 Å³/f.u.



[9]
First-principles (PBE) data for crystalline CsPmAu2 at its relaxed geometry, as listed in Alexandria.

Cell lengths 3.8679, 3.8679, 8.5986 Å; angles 90.00, 90.00, 90.00 degrees
Space group P4/mmm (No. 123)
One atom of each set of equivalent atoms:
Cs  0.0000  0.0000  0.0000 x1
Pm  0.0000  0.0000  0.5000 x1
Au  0.5000  0.5000  0.3264 x2

DOS at the Fermi energy: 2.5 states/eV/cell
formation enthalpy at 0 K: -0.52 eV per atom
V: 128.6 Å³/f.u.
ΔE to the lowest computed polymorph: 0.000 eV per atom



[10]
First-principles (PBE) data for crystalline CsPmAu2 at its relaxed geometry, as listed in Alexandria.

Cell lengths 4.4139, 4.4139, 25.5958 Å; angles 90.00, 90.00, 120.00 degrees
Space group R-3m (No. 166, hexagonal axes)
One atom of each set of equivalent atoms:
Cs  0.0000  0.0000  0.0000 x3
Pm  0.0000  0.0000  0.5000 x3
Au  0.0000  0.0000  0.2291 x6

DOS at the Fermi energy: 8.3 states/eV/cell
formation enthalpy at 0 K: -0.40 eV per atom
V: 144.0 Å³/f.u.
ΔE to the lowest computed polymorph: 0.117 eV per atom



[11]
First-principles (PBE) data for crystalline CsPmAuSe2 at its relaxed geometry, as listed in Alexandria.

Cell lengths 8.4726, 5.0896, 8.2692 Å; angles 90.00, 99.10, 90.00 degrees
Space group P2/c (No. 13)
One atom of each set of equivalent atoms:
Cs  0.0000  0.1480  0.2500 x2
Pm  0.5000  0.4941  0.7500 x2
Au  0.5000  0.0000  0.0000 x2
Se  0.2721  0.3448  0.9649 x4

DOS at the Fermi energy: 6.3 states/eV/cell
formation energy from raw total energies: -107 kJ per mole of atoms
V: 176.1 Å³/f.u.



[12]
First-principles (PBE) data for crystalline CsPmTe2Au at its relaxed geometry, as listed in Alexandria.

Cell lengths 9.3375, 5.0136, 8.6274 Å; angles 90.00, 98.12, 90.00 degrees
Space group P2/c (No. 13)
One atom of each set of equivalent atoms:
Cs  0.0000  0.1684  0.2500 x2
Pm  0.5000  0.4959  0.7500 x2
Te  0.2699  0.3276  0.9665 x4
Au  0.5000  0.0000  0.0000 x2

DOS at the Fermi energy: 4.7 states/eV/cell
formation energy from raw total energies: -87 kJ per mole of atoms
V: 199.9 Å³/f.u.



[13]
First-principles (PBE) data for crystalline CsPr2AuS4 at its relaxed geometry, as listed in Alexandria.

Cell lengths 4.2200, 14.5381, 14.5575 Å; angles 90.00, 90.00, 90.00 degrees
Space group Cmcm (No. 63)
One atom of each set of equivalent atoms:
Cs  0.0000  0.1136  0.2500 x4
Pr  0.0000  0.3678  0.0640 x8
Au  0.0000  0.1588  0.7500 x4
S  0.0000  0.0000  0.0000 x4
S  0.0000  0.2577  0.6029 x8
S  0.0000  0.4341  0.2500 x4

formation energy from raw total energies: -148 kJ per mole of atoms
V: 223.3 Å³/f.u.



Number 1: calculated total energy -2.40 eV/atom. Number 2: calculated total energy -2.19 eV/atom. Number 3: calculated total energy -3.96 eV/atom. Number 4: calculated total energy -1.68 eV/atom. Number 5: calculated total energy -3.15 eV/atom. Number 6: calculated total energy -4.14 eV/atom. Number 7: calculated total energy -3.60 eV/atom. Number 8: calculated total energy -2.90 eV/atom. Number 9: calculated total energy -3.56 eV/atom. Number 10: calculated total energy -3.44 eV/atom. Number 11: calculated total energy -4.28 eV/atom. Number 12: calculated total energy -3.94 eV/atom. Number 13: calculated total energy -5.31 eV/atom.